## HgICl2 (PBE)

Data for an optimized crystal structure of HgICl2.

Calculated values
Offset from the most stable computed form = 0.77 eV per formula unit
Final energy = -1.6238 eV per atom
Fermi-level density of states = 3.40 states/eV/cell
Total magnetic moment = 0.0 μB/f.u.

Cell: 9.4991 7.4763 4.0854 Å, 90.00 104.14 90.00°
Closest atoms and distances in Å follow each position.
Space group C2 (No. 5)
Unique sites:
Hg (0.0000, 0.0000, 0.0000)  2 Cl 2.54, 1 I 2.82
I (0.0000, 0.3768, 0.0000)  1 Hg 2.82, 2 Cl 3.01
Cl (0.1789, 0.8872, 0.6773)  1 Hg 2.54